# 1
# ZrNiW2 GGA-PBE optimized geometry
data_ZrNiW2
_cell_length_a 2.750
_cell_length_b 2.750
_cell_length_c 8.644
_cell_angle_alpha 90.00
_cell_angle_beta 90.00
_cell_angle_gamma 99.34
_space_group_name_H-M_alt 'P 1'
_space_group_IT_number 1
loop_
_space_group_symop_operation_xyz
'x,y,z'
loop_
_atom_site_label
_atom_site_type_symbol
_atom_site_fract_x
_atom_site_fract_y
_atom_site_fract_z
_atom_site_occupancy
Ni1 Ni 0.500 0.500 0.750 1
W1 W 0.000 0.000 0.967 1
W2 W 0.000 0.000 0.533 1
Zr1 Zr 0.500 0.500 0.250 1
# - Space-group type: No. 65
# - Distance to the lowest polymorph of the same formula: 139 meV/atom
# - Total energy: -39.54 eV for the cell shown
# - Energy of formation from the pure elements: 0.17 eV/atom


# 2
# Pm6SnGe2 GGA-PBE optimized geometry
data_Pm6SnGe2
_cell_length_a 4.383
_cell_length_b 8.259
_cell_length_c 8.261
_cell_angle_alpha 120.00
_cell_angle_beta 90.00
_cell_angle_gamma 90.00
_space_group_name_H-M_alt 'P 1'
_space_group_IT_number 1
loop_
_space_group_symop_operation_xyz
'x,y,z'
loop_
_atom_site_label
_atom_site_type_symbol
_atom_site_fract_x
_atom_site_fract_y
_atom_site_fract_z
_atom_site_occupancy
Pm1 Pm 0.500 0.591 0.000 1
Pm2 Pm 0.500 0.409 0.409 1
Pm3 Pm 0.500 0.000 0.591 1
Pm4 Pm 0.000 0.279 0.000 1
Pm5 Pm 0.000 0.722 0.722 1
Pm6 Pm 0.000 0.000 0.278 1
Sn1 Sn 0.500 0.000 0.000 1
Ge1 Ge 0.000 0.333 0.666 1
Ge2 Ge 0.000 0.667 0.334 1
# - Space-group type: No. 189
# - Distance to the lowest polymorph of the same formula: 25 meV/atom
# - Total energy: -46.97 eV for the cell shown
# - Energy of formation from the pure elements: -0.58 eV/atom


# 3
# CeTm2Mg GGA-PBE optimized geometry
data_CeTm2Mg
_cell_length_a 3.431
_cell_length_b 3.431
_cell_length_c 11.257
_cell_angle_alpha 81.24
_cell_angle_beta 81.24
_cell_angle_gamma 60.00
_space_group_name_H-M_alt 'P 1'
_space_group_IT_number 1
loop_
_space_group_symop_operation_xyz
'x,y,z'
loop_
_atom_site_label
_atom_site_type_symbol
_atom_site_fract_x
_atom_site_fract_y
_atom_site_fract_z
_atom_site_occupancy
Mg1 Mg 0.000 0.000 0.000 1
Tm1 Tm 0.251 0.251 0.246 1
Tm2 Tm 0.749 0.749 0.754 1
Ce1 Ce 0.500 0.500 0.500 1
# - Space-group type: No. 166
# - Distance to the lowest polymorph of the same formula: 25 meV/atom
# - Total energy: -16.32 eV for the cell shown
# - Energy of formation from the pure elements: 0.04 eV/atom


| no. | total magnetization (μB/atom) |
| --- | --- |
| 1 | 0.00 |
| 2 | 0.15 |
| 3 | 0.12 |